First-principles (PBE) data for a relaxed structure of Li2Cd5Au, as listed in Alexandria.

Properties
Spin magnetization   0.00 μB/f.u.
Calculated formation energy   -0.211 eV/atom
Total energy   -26.7 eV for the cell shown

Cell lengths 4.5581, 5.3993, 14.4260 Å; angles 90.00, 90.00, 114.97 degrees
Closest atoms and distances in Å follow each position.
Atoms (fractional coordinates):
Cd1 0.3634 0.7268 0.0517  2 Li 2.83, 6 Cd 2.98-3.15
Li1 0.7705 0.5410 0.1488  2 Au 2.74, 4 Cd 2.83-3.00, 1 Li 2.92
Cd2 0.5144 0.0288 0.2500  3 Au 2.83-3.07, 2 Li 2.90
Cd3 0.9357 0.8713 0.9092  1 Au 2.79, 4 Cd 2.91-3.06, 1 Li 3.00
Cd4 0.3634 0.7268 0.4483  2 Li 2.83, 6 Cd 2.98-3.15
Cd5 0.0643 0.1287 0.0908  1 Au 2.79, 4 Cd 2.91-3.06, 1 Li 3.00
Li2 0.7705 0.5410 0.3512  2 Au 2.74, 4 Cd 2.83-3.00, 1 Li 2.92
Au1 0.2252 0.4505 0.2500  4 Li 2.74, 3 Cd 2.79-2.83
Cd6 0.6366 0.2732 0.5517  2 Li 2.83, 6 Cd 2.98-3.15
Cd7 0.4856 0.9712 0.7500  3 Au 2.83-3.07, 2 Li 2.90
Li3 0.2295 0.4590 0.8512  2 Au 2.74, 4 Cd 2.83-3.00, 1 Li 2.92
Au2 0.7748 0.5495 0.7500  4 Li 2.74, 3 Cd 2.79-2.83
Cd8 0.0643 0.1287 0.4092  1 Au 2.79, 4 Cd 2.91-3.06, 1 Li 3.00
Cd9 0.9357 0.8713 0.5908  1 Au 2.79, 4 Cd 2.91-3.06, 1 Li 3.00
Cd10 0.6366 0.2732 0.9483  2 Li 2.83, 6 Cd 2.98-3.15
Li4 0.2295 0.4590 0.6488  2 Au 2.74, 4 Cd 2.83-3.00, 1 Li 2.92

=====

First-principles (PBE) data for a relaxed structure of LiCd5Au6, as listed in Alexandria.

Properties
Spin magnetization   0.00 μB/f.u.
ΔE to the lowest computed polymorph   0.06 eV/f.u.
Calculated formation energy   -0.241 eV/atom
Total energy   -29.0 eV for the cell shown

Cell lengths 8.4086, 4.6489, 7.2997 Å; angles 71.43, 80.02, 57.03 degrees
Closest atoms and distances in Å follow each position.
Atoms (fractional coordinates):
Au1 0.2419 0.9195 0.6813  1 Li 2.79, 7 Cd 2.86-3.00
Cd1 0.0000 0.3326 0.3348  8 Au 2.86-2.94
Au2 0.2419 0.6008 0.3187  1 Li 2.79, 7 Cd 2.86-3.00
Cd2 0.5000 0.8315 0.3370  8 Au 2.93-3.00, 2 Cd 3.24
Au3 0.2383 0.2625 0.0000  2 Li 2.86-2.88, 6 Cd 2.86-2.99, 2 Au 3.20
Cd3 0.5000 0.1685 0.6630  8 Au 2.93-3.00, 2 Cd 3.24
Au4 0.7581 0.0805 0.3187  1 Li 2.79, 7 Cd 2.86-3.00
Au5 0.7617 0.7375 0.0000  2 Li 2.86-2.88, 6 Cd 2.86-2.99, 2 Au 3.20
Au6 0.7581 0.3992 0.6813  1 Li 2.79, 7 Cd 2.86-3.00
Cd4 0.5000 0.5000 0.0000  8 Au 2.86-2.99
Li1 0.0000 0.0000 0.0000  8 Au 2.79-2.88
Cd5 0.0000 0.6674 0.6652  8 Au 2.86-2.94

=====

First-principles (PBE) data for a relaxed structure of LiCd2Au6, as listed in Alexandria.

Properties
Spin magnetization   0.00 μB/f.u.
ΔE to the lowest computed polymorph   0.75 eV/f.u.
Calculated formation energy   -0.144 eV/atom
Total energy   -24.7 eV for the cell shown

Cell lengths 3.9665, 8.3500, 7.4443 Å; angles 124.11, 105.45, 90.00 degrees
Closest atoms and distances in Å follow each position.
Atoms (fractional coordinates):
Cd1 0.3348 0.3348 0.6697  8 Au 2.86-2.91
Au1 0.8357 0.5897 0.6712  4 Au 2.76-2.82, 1 Li 2.81, 3 Cd 2.86-2.90
Au2 0.8357 0.0815 0.6712  4 Au 2.76-2.82, 1 Li 2.81, 3 Cd 2.86-2.90
Au3 0.1643 0.4103 0.3288  4 Au 2.76-2.82, 1 Li 2.81, 3 Cd 2.86-2.90
Au4 0.5000 0.7606 0.0000  4 Au 2.76, 2 Li 2.82, 2 Cd 2.91
Au5 0.5000 0.2394 0.0000  4 Au 2.76, 2 Li 2.82, 2 Cd 2.91
Cd2 0.6652 0.6652 0.3303  8 Au 2.86-2.91
Li1 0.0000 0.0000 0.0000  8 Au 2.81-2.82
Au6 0.1643 0.9185 0.3288  4 Au 2.76-2.82, 1 Li 2.81, 3 Cd 2.86-2.90

=====

First-principles (PBE) data for a relaxed structure of Li12CdAu6, as listed in Alexandria.

Properties
Spin magnetization   0.00 μB/f.u.
ΔE to the lowest computed polymorph   0.00 eV/f.u.
Calculated formation energy   -0.403 eV/atom
Total energy   -51.2 eV for the cell shown

Cell lengths 6.9025, 6.9025, 6.9025 Å; angles 90.65, 90.65, 90.65 degrees
Closest atoms and distances in Å follow each position.
Atoms (fractional coordinates):
Au1 0.7266 0.8750 0.2929  8 Li 2.66-2.90, 1 Cd 2.91
Li1 0.3862 0.0168 0.1594  4 Au 2.71-2.90, 3 Li 2.73-2.92, 1 Cd 2.87
Au2 0.8750 0.2929 0.7266  8 Li 2.66-2.90, 1 Cd 2.91
Li2 0.1935 0.4769 0.5762  4 Au 2.66-2.75, 5 Li 2.79-2.92
Au3 0.1250 0.7071 0.2734  8 Li 2.66-2.90, 1 Cd 2.91
Li3 0.6138 0.9832 0.8406  4 Au 2.71-2.90, 3 Li 2.73-2.92, 1 Cd 2.87
Li4 0.1594 0.3862 0.0168  4 Au 2.71-2.90, 3 Li 2.73-2.92, 1 Cd 2.87
Li5 0.8406 0.6138 0.9832  4 Au 2.71-2.90, 3 Li 2.73-2.92, 1 Cd 2.87
Au4 0.2734 0.1250 0.7071  8 Li 2.66-2.90, 1 Cd 2.91
Au5 0.2929 0.7266 0.8750  8 Li 2.66-2.90, 1 Cd 2.91
Li6 0.5762 0.1935 0.4769  4 Au 2.66-2.75, 5 Li 2.79-2.92
Li7 0.9832 0.8406 0.6138  4 Au 2.71-2.90, 3 Li 2.73-2.92, 1 Cd 2.87
Li8 0.4769 0.5762 0.1935  4 Au 2.66-2.75, 5 Li 2.79-2.92
Cd1 0.0000 0.0000 0.0000  6 Li 2.87, 6 Au 2.91
Li9 0.8065 0.5231 0.4238  4 Au 2.66-2.75, 5 Li 2.79-2.92
Li10 0.0168 0.1594 0.3862  4 Au 2.71-2.90, 3 Li 2.73-2.92, 1 Cd 2.87
Li11 0.4238 0.8065 0.5231  4 Au 2.66-2.75, 5 Li 2.79-2.92
Au6 0.7071 0.2734 0.1250  8 Li 2.66-2.90, 1 Cd 2.91
Li12 0.5231 0.4238 0.8065  4 Au 2.66-2.75, 5 Li 2.79-2.92

=====

First-principles (PBE) data for a relaxed structure of LiCd2Au, as listed in Alexandria.

Properties
Spin magnetization   0.00 μB/f.u.
ΔE to the lowest computed polymorph   0.29 eV/f.u.
Calculated formation energy   -0.266 eV/atom
Total energy   -8.1 eV for the cell shown

Cell lengths 3.4240, 3.4240, 6.3979 Å; angles 90.00, 90.00, 90.00 degrees
Closest atoms and distances in Å follow each position.
Atoms (fractional coordinates):
Cd1 0.0000 0.0000 0.4897  4 Li 2.87, 4 Au 2.94, 1 Cd 3.07
Li1 0.5000 0.5000 0.2500  8 Cd 2.87, 2 Au 3.20
Cd2 0.0000 0.0000 0.0103  4 Li 2.87, 4 Au 2.94, 1 Cd 3.07
Au1 0.5000 0.5000 0.7500  8 Cd 2.94, 2 Li 3.20

=====

First-principles (PBE) data for a relaxed structure of LiCd4Au, as listed in Alexandria.

Properties
Spin magnetization   0.00 μB/f.u.
ΔE to the lowest computed polymorph   1.04 eV/f.u.
Calculated formation energy   -0.031 eV/atom
Total energy   -9.0 eV for the cell shown

Cell lengths 5.6615, 5.6615, 5.6615 Å; angles 60.00, 60.00, 60.00 degrees
Closest atoms and distances in Å follow each position.
Atoms (fractional coordinates):
Cd1 0.3749 0.3749 0.3749  6 Cd 2.83
Cd2 0.3749 0.3749 0.8753  6 Cd 2.83
Cd3 0.8753 0.3749 0.3749  6 Cd 2.83
Li1 0.7500 0.7500 0.7500  12 Cd 3.32, 4 Au 3.47
Au1 0.0000 0.0000 0.0000  12 Cd 3.32, 4 Li 3.47
Cd4 0.3749 0.8753 0.3749  6 Cd 2.83